The following is a GGA-PBE calculation of crystalline Al5As at its relaxed geometry, from Alexandria.

Structure (extended XYZ):
```
6
Lattice="1.3078 7.1398 -2.0821 -3.0952 -6.8784 -0.3597 -3.4647 1.4185 2.6880" Properties=species:S:1:pos:R:3 pbc="T T T"
Al -1.6556 -2.2951 -0.9228
Al -0.1854 2.3858 -1.4980
Al 1.3042 7.1282 -2.0806
Al -2.8609 0.0920 0.2150
As -4.2875 -4.4498 0.7730
Al -1.4062 4.7235 -0.3540
```

Summary:
ΔE_f = 0.08 eV/atom
Raw total energy = -3.81 eV/atom
DOS(E_F) = 0.305 states/eV per atom
Excess energy over the best structure of this formula in the dataset = 20 meV per atom
Space group = Amm2 (38)